Record 1
Crystalline LiSbOs2 at its relaxed geometry, computed with GGA-PBE.

The structure in POSCAR format:
```
LiSbOs2
1.0
3.957 0.000 0.000
0.000 3.957 0.000
0.000 0.000 7.771
Li Sb Os
2 2 4
Direct
0.000 0.000 0.000 Li
0.500 0.500 0.500 Li
0.000 0.000 0.500 Sb
0.500 0.500 0.000 Sb
0.000 0.500 0.250 Os
0.000 0.500 0.750 Os
0.500 0.000 0.250 Os
0.500 0.000 0.750 Os
```

density = 13.89 g cm⁻³
spin magnetization = 0.00 μB per formula unit
formation energy without anion corrections = 0.43 eV/atom
E = -53.555 eV per cell

Record 2
Crystalline Li2SbOs at its relaxed geometry, computed with GGA-PBE.

The structure in POSCAR format:
```
Li2SbOs
1.0
3.319 0.000 0.000
0.000 3.319 0.000
0.000 0.000 5.903
Li Sb Os
2 1 1
Direct
0.000 0.000 0.000 Li
0.500 0.500 0.236 Li
0.500 0.500 0.708 Sb
0.000 0.000 0.482 Os
```

density = 8.32 g cm⁻³
spin magnetization = 0.00 μB per formula unit
formation energy without anion corrections = 0.02 eV/atom
E = -19.100 eV per cell

Record 3
Crystalline LiSbOs at its relaxed geometry, computed with GGA-PBE.

The structure in POSCAR format:
```
LiSbOs
1.0
3.092 0.000 0.000
-1.546 2.677 0.000
0.000 0.000 6.563
Li Sb Os
1 1 1
Direct
0.000 0.000 0.000 Li
0.333 0.667 0.620 Sb
0.667 0.333 0.316 Os
```

density = 9.75 g cm⁻³
spin magnetization = 0.00 μB per formula unit
formation energy without anion corrections = 0.40 eV/atom
E = -16.067 eV per cell

Record 4
Crystalline LiSbOs2 at its relaxed geometry, computed with GGA-PBE.

The structure in POSCAR format:
```
LiSbOs2
1.0
2.924 0.000 0.000
0.000 5.004 0.000
0.000 0.000 9.349
Li Sb Os
2 2 4
Direct
0.000 0.000 0.000 Li
0.500 0.500 0.000 Li
0.000 0.500 0.278 Sb
0.500 0.000 0.278 Sb
0.000 0.000 0.537 Os
0.000 0.500 0.764 Os
0.500 0.000 0.764 Os
0.500 0.500 0.537 Os
```

density = 12.36 g cm⁻³
spin magnetization = 0.00 μB per formula unit
formation energy without anion corrections = 0.66 eV/atom
E = -51.746 eV per cell

Record 5
Crystalline LiSb6Os at its relaxed geometry, computed with GGA-PBE.

The structure in POSCAR format:
```
LiSb6Os
1.0
6.708 -4.651 0.000
6.708 4.651 0.000
-6.622 0.000 7.047
Li Sb Os
2 12 2
Direct
0.000 0.500 0.000 Li
0.500 0.000 0.000 Li
0.157 0.830 0.646 Sb
0.170 0.843 0.354 Sb
0.193 0.506 0.834 Sb
0.326 0.326 0.472 Sb
0.374 0.374 0.220 Sb
0.494 0.807 0.166 Sb
0.506 0.193 0.834 Sb
0.626 0.626 0.780 Sb
0.674 0.674 0.528 Sb
0.807 0.494 0.166 Sb
0.830 0.157 0.646 Sb
0.843 0.170 0.354 Sb
0.000 0.500 0.500 Os
0.500 0.000 0.500 Os
```

density = 7.01 g cm⁻³
spin magnetization = 0.00 μB per formula unit
formation energy without anion corrections = 0.00 eV/atom
E = -75.704 eV per cell

Record 6
Crystalline LiSb2Os at its relaxed geometry, computed with GGA-PBE.

The structure in POSCAR format:
```
LiSb2Os
1.0
3.292 0.000 0.000
0.000 3.292 0.000
0.000 0.000 7.440
Li Sb Os
1 2 1
Direct
0.000 0.000 0.000 Li
0.000 0.000 0.367 Sb
0.500 0.500 0.795 Sb
0.500 0.500 0.175 Os
```

density = 9.07 g cm⁻³
spin magnetization = 0.00 μB per formula unit
formation energy without anion corrections = 0.12 eV/atom
excess energy over the best structure of this formula in the dataset = 104.9 meV/atom
E = -20.914 eV per cell

Record 7
Crystalline LiSbOs2 at its relaxed geometry, computed with GGA-PBE.

The structure in POSCAR format:
```
LiSbOs2
1.0
8.610 0.000 0.000
0.000 2.958 0.000
-0.747 0.000 4.964
Li Sb Os
2 2 4
Direct
0.000 0.000 0.000 Li
0.500 0.500 0.000 Li
0.256 0.500 0.235 Sb
0.756 0.000 0.235 Sb
0.004 0.500 0.545 Os
0.246 0.000 0.754 Os
0.504 0.000 0.545 Os
0.746 0.500 0.754 Os
```

density = 13.37 g cm⁻³
spin magnetization = 0.00 μB per formula unit
formation energy without anion corrections = 0.38 eV/atom
E = -53.920 eV per cell

Record 8
Crystalline LiSbOs2 at its relaxed geometry, computed with GGA-PBE.

The structure in POSCAR format:
```
LiSbOs2
1.0
3.157 0.000 0.000
0.000 3.157 0.000
0.000 0.000 6.035
Li Sb Os
1 1 2
Direct
0.000 0.000 0.000 Li
0.500 0.500 0.744 Sb
0.000 0.000 0.474 Os
0.500 0.500 0.202 Os
```

density = 14.06 g cm⁻³
spin magnetization = 0.00 μB per formula unit
formation energy without anion corrections = 0.41 eV/atom
E = -26.839 eV per cell

Record 9
Crystalline LiSbOs at its relaxed geometry, computed with GGA-PBE.

The structure in POSCAR format:
```
LiSbOs
1.0
3.208 0.000 0.000
0.000 5.000 0.000
0.000 0.000 13.503
Li Sb Os
4 4 4
Direct
0.000 0.000 0.000 Li
0.000 0.500 0.500 Li
0.500 0.000 0.500 Li
0.500 0.500 0.000 Li
0.000 0.000 0.689 Sb
0.000 0.500 0.189 Sb
0.500 0.000 0.189 Sb
0.500 0.500 0.689 Sb
0.000 0.000 0.347 Os
0.000 0.500 0.847 Os
0.500 0.000 0.847 Os
0.500 0.500 0.347 Os
```

density = 9.78 g cm⁻³
spin magnetization = 0.00 μB per formula unit
formation energy without anion corrections = 0.50 eV/atom
E = -63.048 eV per cell

Record 10
Crystalline Li2SbOs at its relaxed geometry, computed with GGA-PBE.

The structure in POSCAR format:
```
Li2SbOs
1.0
5.170 0.000 0.000
0.000 9.363 0.000
-1.244 0.000 2.727
Li Sb Os
4 2 2
Direct
0.250 0.250 0.000 Li
0.250 0.750 0.000 Li
0.750 0.250 0.000 Li
0.750 0.750 0.000 Li
0.000 0.000 0.500 Sb
0.500 0.500 0.500 Sb
0.000 0.500 0.500 Os
0.500 0.000 0.500 Os
```

density = 8.20 g cm⁻³
spin magnetization = 0.00 μB per formula unit
formation energy without anion corrections = 0.17 eV/atom
E = -36.972 eV per cell

Record 11
Crystalline LiSbOs2 at its relaxed geometry, computed with GGA-PBE.

The structure in POSCAR format:
```
LiSbOs2
1.0
5.359 0.000 0.000
0.000 7.592 0.000
0.000 0.000 3.066
Li Sb Os
2 2 4
Direct
0.000 0.000 0.000 Li
0.500 0.500 0.000 Li
0.000 0.500 0.000 Sb
0.500 0.000 0.000 Sb
0.250 0.250 0.500 Os
0.250 0.750 0.500 Os
0.750 0.250 0.500 Os
0.750 0.750 0.500 Os
```

density = 13.56 g cm⁻³
spin magnetization = 0.00 μB per formula unit
formation energy without anion corrections = 0.60 eV/atom
E = -52.231 eV per cell

Record 12
Crystalline LiSb2Os at its relaxed geometry, computed with GGA-PBE.

The structure in POSCAR format:
```
LiSb2Os
1.0
6.628 0.000 0.000
0.000 6.628 0.000
0.000 0.000 6.628
Li Sb Os
4 8 4
Direct
0.000 0.000 0.000 Li
0.000 0.500 0.500 Li
0.500 0.000 0.500 Li
0.500 0.500 0.000 Li
0.250 0.250 0.250 Sb
0.250 0.250 0.750 Sb
0.250 0.750 0.250 Sb
0.250 0.750 0.750 Sb
0.750 0.250 0.250 Sb
0.750 0.250 0.750 Sb
0.750 0.750 0.250 Sb
0.750 0.750 0.750 Sb
0.000 0.000 0.500 Os
0.000 0.500 0.000 Os
0.500 0.000 0.000 Os
0.500 0.500 0.500 Os
```

density = 10.05 g cm⁻³
spin magnetization = 0.00 μB per formula unit
formation energy without anion corrections = 0.01 eV/atom
excess energy over the best structure of this formula in the dataset = 0.0 meV/atom
E = -85.334 eV per cell

Record 13
Crystalline LiSb2Os at its relaxed geometry, computed with GGA-PBE.

The structure in POSCAR format:
```
LiSb2Os
1.0
9.084 0.000 0.000
0.000 3.308 0.000
-0.665 0.000 5.354
Li Sb Os
2 4 2
Direct
0.000 0.000 0.000 Li
0.500 0.500 0.000 Li
0.255 0.000 0.852 Sb
0.480 0.000 0.420 Sb
0.755 0.500 0.852 Sb
0.980 0.500 0.420 Sb
0.252 0.500 0.244 Os
0.752 0.000 0.244 Os
```

density = 9.10 g cm⁻³
spin magnetization = 0.00 μB per formula unit
formation energy without anion corrections = 0.14 eV/atom
excess energy over the best structure of this formula in the dataset = 128.4 meV/atom
E = -41.640 eV per cell

Record 14
Crystalline Li2SbOs at its relaxed geometry, computed with GGA-PBE.

The structure in POSCAR format:
```
Li2SbOs
1.0
4.411 0.000 0.000
0.000 4.411 0.000
0.000 0.000 6.294
Li Sb Os
4 2 2
Direct
0.000 0.000 0.000 Li
0.000 0.500 0.250 Li
0.500 0.000 0.750 Li
0.500 0.500 0.500 Li
0.000 0.000 0.500 Sb
0.500 0.500 0.000 Sb
0.000 0.500 0.750 Os
0.500 0.000 0.250 Os
```

density = 8.84 g cm⁻³
spin magnetization = 0.00 μB per formula unit
formation energy without anion corrections = -0.06 eV/atom
E = -38.871 eV per cell

Record 15
Crystalline LiSbOs2 at its relaxed geometry, computed with GGA-PBE.

The structure in POSCAR format:
```
LiSbOs2
1.0
2.906 0.000 0.000
0.000 3.943 0.000
0.000 0.000 5.477
Li Sb Os
1 1 2
Direct
0.000 0.000 0.000 Li
0.500 0.500 0.757 Sb
0.000 0.000 0.462 Os
0.500 0.500 0.259 Os
```

density = 13.47 g cm⁻³
spin magnetization = 0.00 μB per formula unit
formation energy without anion corrections = 0.32 eV/atom
E = -27.216 eV per cell

How do the records compare in D(E_F)? In the order shown, they have 10.68; 1.06; 3.27; 8.94; 6.83; 2.27; 7.01; 2.80; 9.58; 4.08; 7.88; 5.13; 2.81; 4.02; 3.28 states/eV per cell.